(w)
# PBE+U CoMoPO2, optimized geometry
# Volume   12.97 Å³ per atom
# DOS(E_F)   2.3 states/eV/cell
data_CoMoPO2
_chemical_formula_sum 'Co1 Mo1 P1 O2'
_symmetry_space_group_name_H-M 'P 4/m m m'
_symmetry_Int_Tables_number 123
_symmetry_space_group_name_Hall '-P 4 2'
_cell_length_a 3.693
_cell_length_b 3.693
_cell_length_c 4.756
_cell_angle_alpha 90.00
_cell_angle_beta 90.00
_cell_angle_gamma 90.00
loop_
_atom_site_label
_atom_site_type_symbol
_atom_site_fract_x
_atom_site_fract_y
_atom_site_fract_z
Co1 Co 0.000 0.000 0.000
Mo1 Mo 0.500 0.500 0.500
P1 P 0.000 0.000 0.500
O1 O 0.000 0.500 0.000

(x)
# PBE+U CoMoPO2, optimized geometry
# Volume   15.36 Å³ per atom
# DOS(E_F)   1.4 states/eV/cell
data_CoMoPO2
_chemical_formula_sum 'Co1 Mo1 P1 O2'
_symmetry_space_group_name_H-M 'P 4/m m m'
_symmetry_Int_Tables_number 123
_symmetry_space_group_name_Hall '-P 4 2'
_cell_length_a 3.797
_cell_length_b 3.797
_cell_length_c 5.325
_cell_angle_alpha 90.00
_cell_angle_beta 90.00
_cell_angle_gamma 90.00
loop_
_atom_site_label
_atom_site_type_symbol
_atom_site_fract_x
_atom_site_fract_y
_atom_site_fract_z
Co1 Co 0.000 0.000 0.000
Mo1 Mo 0.500 0.500 0.500
P1 P 0.500 0.500 0.000
O1 O 0.000 0.500 0.500

It is (x) that is the most stable of them.

(w)
# PBE+U CoTeMoO6, optimized geometry
# Volume   12.26 Å³ per atom
data_CoTeMoO6
_chemical_formula_sum 'Co2 Te2 Mo2 O12'
_symmetry_space_group_name_H-M 'P -3 1 c'
_symmetry_Int_Tables_number 163
_symmetry_space_group_name_Hall '-P 3 2c'
_cell_length_a 5.3550
_cell_length_b 5.3550
_cell_length_c 8.8888
_cell_angle_alpha 90.00
_cell_angle_beta 90.00
_cell_angle_gamma 120.00
loop_
_atom_site_label
_atom_site_type_symbol
_atom_site_fract_x
_atom_site_fract_y
_atom_site_fract_z
Co1 Co 0.0000 0.0000 0.0000
Te1 Te 0.3333 0.6667 0.2500
Mo1 Mo 0.3333 0.6667 0.7500
O1 O 0.0255 0.3574 0.6302

(x)
# PBE+U CoTeMoO6, optimized geometry
# Volume   13.98 Å³ per atom
# DOS(E_F)   0.0 states/eV/cell
data_CoTeMoO6
_chemical_formula_sum 'Co2 Te2 Mo2 O12'
_symmetry_space_group_name_H-M 'P 21 21 2'
_symmetry_Int_Tables_number 18
_cell_length_a 5.111
_cell_length_b 5.337
_cell_length_c 9.224
_cell_angle_alpha 90.00
_cell_angle_beta 90.00
_cell_angle_gamma 90.00
loop_
_symmetry_equiv_pos_as_xyz
'x,y,z'
'-x,-y,z'
'x+1/2,-y+1/2,-z'
'-x+1/2,y+1/2,-z'
loop_
_atom_site_label
_atom_site_type_symbol
_atom_site_fract_x
_atom_site_fract_y
_atom_site_fract_z
Co1 Co 0.000 0.000 0.028
Te1 Te 0.000 0.500 0.239
Mo1 Mo 0.000 0.500 0.699
O1 O 0.156 0.288 0.585
O2 O 0.220 0.677 0.104
O3 O 0.238 0.182 0.200

It is (x) that is the most stable of them.